No. 1
The following is a PBE calculation of a relaxed structure of Rb2GaBr6Cl, from the Alexandria database.

Cell: 8.007 8.007 8.007 Å, 123.02 123.02 84.85°
Atoms (fractional coordinates):
Rb 0.250 0.750 0.500
Rb 0.750 0.250 0.500
Ga 0.000 0.000 0.000
Br 0.215 0.215 0.000
Br 0.240 0.240 0.479
Br 0.240 0.760 0.000
Br 0.760 0.240 0.000
Br 0.760 0.760 0.521
Br 0.785 0.785 0.000
Cl 0.500 0.500 0.000

Summary:
As for the density of states at the Fermi level: 1.04 states/eV per atom. Its total energy is -2.555 eV per atom. The formation energy from raw total energies is -0.870 eV/atom.


No. 2
The following is a PBE calculation of a relaxed structure of GaS2Br2Cl2, from the Alexandria database.

Cell: 7.160 7.160 10.045 Å, 129.31 129.31 30.55°
Atoms (fractional coordinates):
Ga 0.000 0.000 0.000
S 0.464 0.464 0.383
S 0.536 0.536 0.617
Br 0.338 0.338 0.926
Br 0.662 0.662 0.074
Cl 0.091 0.091 0.291
Cl 0.909 0.909 0.709

Summary:
As for the density of states at the Fermi level: 0.58 states/eV per atom. Its total energy is -2.959 eV per atom. The formation energy from raw total energies is -0.342 eV/atom.


No. 3
The following is a PBE calculation of a relaxed structure of GaSBrCl2, from the Alexandria database.

Cell: 4.610 4.610 5.441 Å, 90.00 90.00 90.00°
Atoms (fractional coordinates):
Ga 0.000 0.000 0.000
S 0.000 0.000 0.500
Br 0.500 0.500 0.500
Cl 0.000 0.500 0.000
Cl 0.500 0.000 0.000

Summary:
As for the density of states at the Fermi level: 0.60 states/eV per atom. Its total energy is -2.567 eV per atom. The calculation puts the energy relative to the lowest polymorph listed for this composition at 0.000 eV/atom. The formation energy from raw total energies is -0.063 eV/atom.


No. 4
The following is a PBE calculation of a relaxed structure of GaSbBrCl2, from the Alexandria database.

Cell: 5.460 5.460 5.801 Å, 90.00 90.00 90.00°
Atoms (fractional coordinates):
Ga 0.000 0.000 0.000
Sb 0.500 0.500 0.500
Br 0.500 0.500 0.000
Cl 0.000 0.500 0.500
Cl 0.500 0.000 0.500

Summary:
As for the density of states at the Fermi level: 0.54 states/eV per atom. Its total energy is -2.899 eV per atom. The formation energy from raw total energies is -0.396 eV/atom.


Among the records above, which one has the lowest formation energy from raw total energies?
Rb2GaBr6Cl


formation energy from raw total energies of number 4 (GaSbBrCl2)?
-0.396 eV/atom


Look up the formation energy from raw total energies of the second one.
-0.342 eV/atom


formation energy from raw total energies of number 3 (GaSBrCl2)?
-0.063 eV/atom